A plane-wave DFT calculation with PBE was carried out for crystalline Ca2YCo at its relaxed geometry.

It has space group Imm2 (No. 44), with a = 3.623 Å, b = 5.815 Å, c = 10.804 Å, α = 90.00°, β = 90.00° and γ = 90.00°. Symmetry generates all atoms from Ca at (0.000, 0.000, 0.000), Ca at (0.000, 0.500, 0.183), Y at (0.000, 0.000, 0.365) and Co at (0.000, 0.500, 0.699).

The volume comes out at 28.453 Å³/atom. As for the offset from the most stable computed form: 86.1 meV/atom. Its calculated density is 3.33 Mg/m³. The value obtained for the energy is -34.05 eV for the cell shown. The density of states at the Fermi level is 0.833 states/eV/atom. Its spin magnetization is 0.0 μB/f.u. The calculation puts the formation enthalpy at 0 K at 0.138 eV/atom.